[1]
Entry from Alexandria via LeMat-Bulk: a relaxed KYScCl6 crystal (PBE-GGA).

## Properties
Density of states at the Fermi level   6.12 states/eV/f.u.
V   31.305 Å³ per atom
Total DFT energy (no corrections)   -4.849 eV/atom
Size of the total moment   2.1 μB/cell
Formation energy (no corrections)   -1801.0 kJ/mol of formula units

Unit cell a=6.7528 b=6.7528 c=14.2685 alpha=90.00 beta=90.00 gamma=120.00
Space group P-31c (No. 163)
Asymmetric unit:
K 0.0000 0.0000 0.0000 [2 per cell]
Y 0.3333 0.6667 0.2500 [2 per cell]
Sc 0.3333 0.6667 0.7500 [2 per cell]
Cl 0.0095 0.3682 0.6437 [12 per cell]



[2]
Entry from Alexandria via LeMat-Bulk: a relaxed CaB2H10O crystal (PBE-GGA).

## Properties
Density of states at the Fermi level   0.00 states/eV/f.u.
V   9.723 Å³ per atom
Total DFT energy (no corrections)   -4.359 eV/atom
Size of the total moment   0.0 μB/cell

Unit cell a=8.116 b=5.748 c=11.673 alpha=90.00 beta=90.00 gamma=90.00
Space group Pnma (No. 62)
Asymmetric unit:
Ca 0.189 0.250 0.087 [4 per cell]
B 0.014 0.750 0.716 [4 per cell]
B 0.137 0.750 0.057 [4 per cell]
H 0.012 0.250 0.925 [4 per cell]
H 0.059 0.750 0.816 [4 per cell]
H 0.070 0.574 0.671 [8 per cell]
H 0.088 0.614 0.386 [8 per cell]
H 0.136 0.250 0.295 [4 per cell]
H 0.178 0.587 0.996 [8 per cell]
H 0.208 0.750 0.149 [4 per cell]
O 0.133 0.750 0.426 [4 per cell]



Q: size of the total moment of number 1 (KYScCl6)?
A: 2.1 μB/cell



Q: Which value of size of the total moment does entry 2 give?
A: 0.0 μB/cell



Q: Among the records above, which one has the lowest density of states at the Fermi level?
A: CaB2H10O



Q: Among the records above, which one has the lowest total DFT energy (no corrections)?
A: KYScCl6